VASP calculation (PBE) on a relaxed K4Rb3Ag crystal.

a b c (Å): 35.7951 4.4971 6.9860
angles (deg): 90.00 101.09 90.00
Last column: nearest neighbours and their distance in Å.
Fractional coordinates of all 16 atoms:
K 0.0754 0.0000 0.0738  2 Ag 3.48
K 0.2154 0.5000 0.2135  6 K 4.50-4.84, 5 Rb 4.67-4.73
K 0.2846 0.0000 0.7865  6 K 4.50-4.84, 5 Rb 4.67-4.73
K 0.4246 0.5000 0.9262  2 Ag 3.48
K 0.5754 0.5000 0.0738  2 Ag 3.48
K 0.7154 0.0000 0.2135  6 K 4.50-4.84, 5 Rb 4.67-4.73
K 0.7846 0.5000 0.7865  6 K 4.50-4.84, 5 Rb 4.67-4.73
K 0.9246 0.0000 0.9262  2 Ag 3.48
Rb 0.0000 0.0000 0.5000  4 Ag 4.15, 4 K 4.38-4.39, 2 Rb 4.50
Rb 0.1515 0.0000 0.6491  7 K 4.40-4.73, 2 Rb 4.50
Rb 0.3485 0.5000 0.3509  7 K 4.40-4.73, 2 Rb 4.50
Rb 0.5000 0.5000 0.5000  4 Ag 4.15, 4 K 4.38-4.39, 2 Rb 4.50
Rb 0.6515 0.5000 0.6491  7 K 4.40-4.73, 2 Rb 4.50
Rb 0.8485 0.0000 0.3509  7 K 4.40-4.73, 2 Rb 4.50
Ag 0.0000 0.5000 0.0000  4 K 3.48
Ag 0.5000 0.0000 0.0000  4 K 3.48

Values from the calculation:
space group	No. 12
E_form	0.06	eV/atom

VASP calculation (PBE) on a relaxed Tl12Hg5Au2 crystal.

a b c (Å): 8.3282 8.3282 8.6283
angles (deg): 93.01 93.01 71.00
Last column: nearest neighbours and their distance in Å.
Fractional coordinates of all 19 atoms:
Tl 0.0498 0.0498 0.1993  2 Au 3.06, 2 Hg 3.12-3.14, 4 Tl 3.30-3.41
Tl 0.1009 0.6866 0.3624  5 Tl 3.30-3.61, 4 Hg 3.36-3.54, 1 Au 3.56
Tl 0.1708 0.5303 0.7406  1 Au 2.99, 1 Hg 3.27
Tl 0.3134 0.8991 0.6376  5 Tl 3.30-3.61, 4 Hg 3.36-3.54, 1 Au 3.56
Tl 0.3989 0.3989 0.1343  2 Au 3.00, 3 Hg 3.15-3.36
Tl 0.4697 0.8292 0.2594  1 Au 2.99, 1 Hg 3.27
Tl 0.5303 0.1708 0.7406  1 Au 2.99, 1 Hg 3.27
Tl 0.6011 0.6011 0.8657  2 Au 3.00, 3 Hg 3.15-3.36
Tl 0.6866 0.1009 0.3624  5 Tl 3.30-3.61, 4 Hg 3.36-3.54, 1 Au 3.56
Tl 0.8292 0.4697 0.2594  1 Au 2.99, 1 Hg 3.27
Tl 0.8991 0.3134 0.6376  5 Tl 3.30-3.61, 4 Hg 3.36-3.54, 1 Au 3.56
Tl 0.9502 0.9502 0.8007  2 Au 3.06, 2 Hg 3.12-3.14, 4 Tl 3.30-3.41
Hg 0.1960 0.1960 0.9346  7 Tl 3.12-3.46
Hg 0.2434 0.2434 0.4206  6 Tl 3.14-3.50, 1 Hg 3.50
Hg 0.5000 0.5000 0.5000  10 Tl 3.36-3.46, 2 Hg 3.50
Hg 0.7566 0.7566 0.5794  6 Tl 3.14-3.50, 1 Hg 3.50
Hg 0.8040 0.8040 0.0654  7 Tl 3.12-3.46
Au 0.2557 0.7443 0.0000  6 Tl 2.99-3.06
Au 0.7443 0.2557 0.0000  6 Tl 2.99-3.06

Values from the calculation:
E above lowest polymorph	0.0000	eV per atom
space group	No. 12
E_form	0.01	eV/atom

VASP calculation (PBE) on a relaxed GaMo2Ir crystal.

a b c (Å): 3.6990 3.6990 19.1399
angles (deg): 90.00 90.00 90.00
Last column: nearest neighbours and their distance in Å.
Fractional coordinates of all 16 atoms:
Ga 0.0000 0.0000 0.0000  4 Ir 2.62, 4 Mo 2.71
Ga 0.0000 0.5000 0.2500  4 Ir 2.62, 4 Mo 2.71
Ga 0.5000 0.0000 0.7500  4 Ir 2.62, 4 Mo 2.71
Ga 0.5000 0.5000 0.5000  4 Ir 2.62, 4 Mo 2.71
Mo 0.2356 0.2500 0.1250  4 Mo 2.54-2.69, 2 Ga 2.71, 2 Ir 2.75
Mo 0.2500 0.7356 0.3750  4 Mo 2.54-2.69, 2 Ga 2.71, 2 Ir 2.75
Mo 0.2500 0.7644 0.8750  4 Mo 2.54-2.69, 2 Ga 2.71, 2 Ir 2.75
Mo 0.2644 0.2500 0.6250  4 Mo 2.54-2.69, 2 Ga 2.71, 2 Ir 2.75
Mo 0.7356 0.7500 0.6250  4 Mo 2.54-2.69, 2 Ga 2.71, 2 Ir 2.75
Mo 0.7500 0.2356 0.8750  4 Mo 2.54-2.69, 2 Ga 2.71, 2 Ir 2.75
Mo 0.7500 0.2644 0.3750  4 Mo 2.54-2.69, 2 Ga 2.71, 2 Ir 2.75
Mo 0.7644 0.7500 0.1250  4 Mo 2.54-2.69, 2 Ga 2.71, 2 Ir 2.75
Ir 0.0000 0.0000 0.5000  4 Ga 2.62, 4 Mo 2.75
Ir 0.0000 0.5000 0.7500  4 Ga 2.62, 4 Mo 2.75
Ir 0.5000 0.0000 0.2500  4 Ga 2.62, 4 Mo 2.75
Ir 0.5000 0.5000 0.0000  4 Ga 2.62, 4 Mo 2.75

Values from the calculation:
space group	No. 122
E_form	0.34	eV/atom

VASP calculation (PBE) on a relaxed LaSc2Mn crystal.

a b c (Å): 3.4060 5.1325 11.0789
angles (deg): 90.00 90.00 90.00
Last column: nearest neighbours and their distance in Å.
Fractional coordinates of all 8 atoms:
La 0.0000 0.0000 0.0000  4 Mn 3.08, 2 La 3.41
La 0.5000 0.5000 0.5000  4 Mn 3.08, 2 La 3.41
Sc 0.0000 0.5000 0.2095  2 Mn 2.88, 4 Sc 3.21
Sc 0.0000 0.5000 0.7905  2 Mn 2.88, 4 Sc 3.21
Sc 0.5000 0.0000 0.2905  2 Mn 2.88, 4 Sc 3.21
Sc 0.5000 0.0000 0.7095  2 Mn 2.88, 4 Sc 3.21
Mn 0.0000 0.0000 0.5000  4 Sc 2.88, 4 La 3.08
Mn 0.5000 0.5000 0.0000  4 Sc 2.88, 4 La 3.08

Values from the calculation:
E above lowest polymorph	0.0798	eV per atom
space group	No. 71
E_form	0.16	eV/atom

VASP calculation (PBE) on a relaxed Ba2GeHPt6 crystal.

a b c (Å): 5.6788 6.3120 6.6982
angles (deg): 69.79 64.98 89.89
Last column: nearest neighbours and their distance in Å.
Fractional coordinates of all 10 atoms:
Ba 0.1747 0.2989 0.1499  1 H 2.86
Ba 0.8253 0.7011 0.8501  1 H 2.86
Ge 0.5000 0.0000 0.5000  6 Pt 2.55-2.60
H 0.0000 0.5000 0.5000  4 Pt 1.99-2.00
Pt 0.1858 0.2733 0.6407  1 H 1.99
Pt 0.2755 0.8947 0.9499  1 Ge 2.55, 4 Pt 2.73-2.78
Pt 0.3283 0.7267 0.3601  1 H 2.00
Pt 0.6717 0.2733 0.6399  1 H 2.00
Pt 0.7245 0.1053 0.0501  1 Ge 2.55, 4 Pt 2.73-2.78
Pt 0.8142 0.7267 0.3593  1 H 1.99

Values from the calculation:
E_tot	-5.327	eV/atom
space group	No. 2

VASP calculation (PBE) on a relaxed NbV2Ir5 crystal.

a b c (Å): 5.5045 9.8519 4.4894
angles (deg): 90.00 90.00 90.00
Last column: nearest neighbours and their distance in Å.
Fractional coordinates of all 16 atoms:
Nb 0.0000 0.0000 0.0000  10 Ir 2.70-2.90
Nb 0.5000 0.5000 0.0000  10 Ir 2.70-2.90
V 0.1517 0.3438 0.5000  5 Ir 2.46-2.54
V 0.3483 0.8438 0.5000  5 Ir 2.46-2.54
V 0.6517 0.1562 0.5000  5 Ir 2.46-2.54
V 0.8483 0.6562 0.5000  5 Ir 2.46-2.54
Ir 0.0000 0.5000 0.0000  2 Nb 2.75, 8 Ir 2.79-2.86, 4 V 2.85
Ir 0.2206 0.0888 0.5000  3 V 2.46-2.54, 2 Nb 2.70
Ir 0.2290 0.7521 0.0000  2 V 2.51, 1 Nb 2.75, 5 Ir 2.75-2.79
Ir 0.2710 0.2521 0.0000  2 V 2.51, 1 Nb 2.75, 5 Ir 2.75-2.79
Ir 0.2794 0.5888 0.5000  3 V 2.46-2.54, 2 Nb 2.70
Ir 0.5000 0.0000 0.0000  2 Nb 2.75, 8 Ir 2.79-2.86, 4 V 2.85
Ir 0.7206 0.4112 0.5000  3 V 2.46-2.54, 2 Nb 2.70
Ir 0.7290 0.7479 0.0000  2 V 2.51, 1 Nb 2.75, 5 Ir 2.75-2.79
Ir 0.7710 0.2479 0.0000  2 V 2.51, 1 Nb 2.75, 5 Ir 2.75-2.79
Ir 0.7794 0.9112 0.5000  3 V 2.46-2.54, 2 Nb 2.70

Values from the calculation:
space group	No. 55
E_form	-0.32	eV/atom

VASP calculation (PBE) on a relaxed LiDy3Ho3Se8 crystal.

a b c (Å): 8.0813 8.0813 8.0813
angles (deg): 60.03 60.03 60.03
Last column: nearest neighbours and their distance in Å.
Fractional coordinates of all 15 atoms:
Li 0.0000 0.0000 0.0000  6 Se 2.83
Dy 0.0000 0.5000 0.5000  6 Se 2.86
Dy 0.5000 0.0000 0.5000  6 Se 2.86
Dy 0.5000 0.5000 0.0000  6 Se 2.86
Ho 0.0000 0.0000 0.5000  6 Se 2.85
Ho 0.0000 0.5000 0.0000  6 Se 2.85
Ho 0.5000 0.0000 0.0000  6 Se 2.85
Se 0.2462 0.7527 0.7527  1 Li 2.83, 2 Ho 2.85, 2 Dy 2.86
Se 0.2473 0.2473 0.7538  1 Li 2.83, 2 Ho 2.85, 2 Dy 2.86
Se 0.2473 0.7538 0.2473  1 Li 2.83, 2 Ho 2.85, 2 Dy 2.86
Se 0.2495 0.2495 0.2495  3 Ho 2.85, 3 Dy 2.86
Se 0.7505 0.7505 0.7505  3 Ho 2.85, 3 Dy 2.86
Se 0.7527 0.2462 0.7527  1 Li 2.83, 2 Ho 2.85, 2 Dy 2.86
Se 0.7527 0.7527 0.2462  1 Li 2.83, 2 Ho 2.85, 2 Dy 2.86
Se 0.7538 0.2473 0.2473  1 Li 2.83, 2 Ho 2.85, 2 Dy 2.86

Values from the calculation:
E_tot	-5.608	eV/atom
space group	No. 166

VASP calculation (PBE) on a relaxed Ba3Cd2Pb3 crystal.

a b c (Å): 6.8063 6.8063 17.4109
angles (deg): 90.00 90.00 133.74
Last column: nearest neighbours and their distance in Å.
Fractional coordinates of all 16 atoms:
Ba 0.0954 0.9046 0.6077  7 Pb 3.64-4.01, 4 Cd 3.67-3.86
Ba 0.0954 0.9046 0.8923  7 Pb 3.64-4.01, 4 Cd 3.67-3.86
Ba 0.3711 0.6289 0.7500  5 Pb 3.69-3.78, 4 Cd 3.85
Ba 0.6289 0.3711 0.2500  5 Pb 3.69-3.78, 4 Cd 3.85
Ba 0.9046 0.0954 0.1077  7 Pb 3.64-4.01, 4 Cd 3.67-3.86
Ba 0.9046 0.0954 0.3923  7 Pb 3.64-4.01, 4 Cd 3.67-3.86
Cd 0.2036 0.7964 0.1001  4 Pb 3.06-3.21
Cd 0.2036 0.7964 0.3999  4 Pb 3.06-3.21
Cd 0.7964 0.2036 0.6001  4 Pb 3.06-3.21
Cd 0.7964 0.2036 0.8999  4 Pb 3.06-3.21
Pb 0.3316 0.6684 0.2500  2 Cd 3.06
Pb 0.3807 0.6193 0.5329  3 Cd 3.10-3.21, 1 Pb 3.20
Pb 0.3807 0.6193 0.9671  3 Cd 3.10-3.21, 1 Pb 3.20
Pb 0.6193 0.3807 0.0329  3 Cd 3.10-3.21, 1 Pb 3.20
Pb 0.6193 0.3807 0.4671  3 Cd 3.10-3.21, 1 Pb 3.20
Pb 0.6684 0.3316 0.7500  2 Cd 3.06

Values from the calculation:
space group	No. 63
E_form	-0.49	eV/atom

VASP calculation (PBE) on a relaxed La3Te2N crystal.

a b c (Å): 3.9908 6.1995 13.7637
angles (deg): 90.00 90.00 90.00
Last column: nearest neighbours and their distance in Å.
Fractional coordinates of all 12 atoms:
La 0.0000 0.0000 0.0000  2 N 3.10, 4 Te 3.21
La 0.0000 0.0000 0.3777  2 N 2.61
La 0.0000 0.0000 0.6223  2 N 2.61
La 0.5000 0.5000 0.1223  2 N 2.61
La 0.5000 0.5000 0.5000  2 N 3.10, 4 Te 3.21
La 0.5000 0.5000 0.8777  2 N 2.61
Te 0.0000 0.5000 0.3177  6 La 3.21-3.35
Te 0.0000 0.5000 0.6823  6 La 3.21-3.35
Te 0.5000 0.0000 0.1823  6 La 3.21-3.35
Te 0.5000 0.0000 0.8177  6 La 3.21-3.35
N 0.0000 0.5000 0.0000  4 La 2.61
N 0.5000 0.0000 0.5000  4 La 2.61

Values from the calculation:
E above lowest polymorph	0.0347	eV per atom
space group	No. 71

VASP calculation (PBE) on a relaxed NdGd2In crystal.

a b c (Å): 7.8170 7.8170 7.8170
angles (deg): 90.00 90.00 90.00
Last column: nearest neighbours and their distance in Å.
Fractional coordinates of all 16 atoms:
Nd 0.0000 0.0000 0.0000  8 Gd 3.38
Nd 0.0000 0.5000 0.5000  8 Gd 3.38
Nd 0.5000 0.0000 0.5000  8 Gd 3.38
Nd 0.5000 0.5000 0.0000  8 Gd 3.38
Gd 0.2500 0.2500 0.2500  4 In 3.38, 4 Nd 3.38
Gd 0.2500 0.2500 0.7500  4 In 3.38, 4 Nd 3.38
Gd 0.2500 0.7500 0.2500  4 In 3.38, 4 Nd 3.38
Gd 0.2500 0.7500 0.7500  4 In 3.38, 4 Nd 3.38
Gd 0.7500 0.2500 0.2500  4 In 3.38, 4 Nd 3.38
Gd 0.7500 0.2500 0.7500  4 In 3.38, 4 Nd 3.38
Gd 0.7500 0.7500 0.2500  4 In 3.38, 4 Nd 3.38
Gd 0.7500 0.7500 0.7500  4 In 3.38, 4 Nd 3.38
In 0.0000 0.0000 0.5000  8 Gd 3.38
In 0.0000 0.5000 0.0000  8 Gd 3.38
In 0.5000 0.0000 0.0000  8 Gd 3.38
In 0.5000 0.5000 0.5000  8 Gd 3.38

Values from the calculation:
E above lowest polymorph	0.1478	eV per atom
space group	No. 225
E_form	-0.15	eV/atom

VASP calculation (PBE) on a relaxed FeAsOs crystal.

a b c (Å): 2.9205 3.8260 7.5634
angles (deg): 90.00 90.00 90.00
Last column: nearest neighbours and their distance in Å.
Fractional coordinates of all 6 atoms:
Fe 0.0000 0.0000 0.0000  1 As 2.42, 5 Os 2.62-2.67
Fe 0.5000 0.5000 0.5000  1 As 2.42, 5 Os 2.62-2.67
As 0.0000 0.0000 0.6795  1 Fe 2.42, 1 Os 2.52
As 0.5000 0.5000 0.1795  1 Fe 2.42, 1 Os 2.52
Os 0.0000 0.0000 0.3463  5 As 2.52-2.72, 5 Fe 2.62-2.67
Os 0.5000 0.5000 0.8463  5 As 2.52-2.72, 5 Fe 2.62-2.67

Values from the calculation:
E above lowest polymorph	0.1858	eV per atom
space group	No. 44
E_form	0.37	eV/atom

VASP calculation (PBE) on a relaxed FeBSb2As crystal.

a b c (Å): 4.9716 4.9716 4.0343
angles (deg): 90.00 90.00 90.00
Last column: nearest neighbours and their distance in Å.
Fractional coordinates of all 5 atoms:
Fe 0.0000 0.0000 0.0000  8 Sb 3.20, 4 As 3.52
B 0.5000 0.5000 0.5000  2 As 2.02
Sb 0.0000 0.5000 0.5000  2 B 2.49
Sb 0.5000 0.0000 0.5000  2 B 2.49
As 0.5000 0.5000 0.0000  2 B 2.02

Values from the calculation:
E_tot	-4.634	eV/atom
space group	No. 123